## AlTl2GaB (PBE)

Data for a relaxed AlTl2GaB crystal.

Calculated values
- Formation energy from the elements: 0.73 eV/atom
- Total energy: -2.903 eV/atom
- Energy above the lowest structure with this stoichiometry: 180 meV/atom
- DOS(E_F): 0.78 states/eV per atom

Cell: 5.6202 5.6202 4.0088 Å, 90.00 90.00 90.00°
Sites, in units of the cell vectors:
Al  0.0000  0.0000  0.0000
Tl  0.0000  0.5000  0.0000
Tl  0.5000  0.0000  0.0000
Ga  0.5000  0.5000  0.5000
B  0.0000  0.0000  0.5000